(1)
# Sm6TlSe3S2

Crystalline Sm6TlSe3S2 at its relaxed geometry (GGA-PBE, Alexandria).

uncorrected formation energy	-1.610	eV per atom
total DFT energy (no corrections)	-68.7	eV/cell

a = 4.0879 Å, b = 8.5329 Å, c = 9.3757 Å
α = 103.71°, β = 102.59°, γ = 90.00°
Last column: nearest neighbours and their distance in Å.
Atoms (fractional coordinates):
1 Sm 0.9940 0.7349 0.9881  3 Se 2.88-3.03, 1 S 2.91, 2 Tl 3.03
2 Sm 0.3292 0.9003 0.6584  2 S 2.88, 3 Se 2.92-3.06, 1 Tl 3.03
3 Sm 0.0060 0.2651 0.0119  3 Se 2.88-3.03, 1 S 2.91, 2 Tl 3.03
4 Sm 0.6706 0.5718 0.3413  3 S 2.84-2.86, 3 Se 3.03
5 Sm 0.6708 0.0997 0.3416  2 S 2.88, 3 Se 2.92-3.06, 1 Tl 3.03
6 Sm 0.3294 0.4282 0.6587  3 S 2.84-2.86, 3 Se 3.03
7 Se 0.1646 0.8303 0.3292  6 Sm 2.92-3.06
8 Se 0.8354 0.1697 0.6708  6 Sm 2.92-3.06
9 Se 0.5000 0.5000 0.0000  6 Sm 2.88-3.03
10 S 0.8305 0.6634 0.6610  6 Sm 2.84-2.91
11 S 0.1695 0.3366 0.3389  6 Sm 2.84-2.91
12 Tl 0.5000 0.0000 0.0000  6 Sm 3.03

(2)
# Sm8Tl3Se3S

Crystalline Sm8Tl3Se3S at its relaxed geometry (GGA-PBE, Alexandria).

uncorrected formation energy	-1.075	eV per atom
total DFT energy (no corrections)	-75.6	eV/cell

a = 8.1227 Å, b = 8.1335 Å, c = 9.0911 Å
α = 116.65°, β = 90.00°, γ = 119.96°
Last column: nearest neighbours and their distance in Å.
Atoms (fractional coordinates):
1 Se 0.5000 0.5000 0.5000  6 Sm 2.91
2 Se 0.5000 0.0000 0.5000  6 Sm 2.91
3 Se 0.0000 0.5000 0.5000  6 Sm 2.91
4 Sm 0.7655 0.5310 0.2833  1 S 2.84, 2 Se 2.91
5 Sm 0.2345 0.4690 0.7167  1 S 2.84, 2 Se 2.91
6 Sm 0.2593 0.5185 0.2779  3 Se 2.91, 3 Tl 3.19
7 Sm 0.7657 0.0180 0.2835  1 S 2.84, 2 Se 2.91
8 Sm 0.2523 0.0180 0.2835  1 S 2.84, 2 Se 2.91
9 Sm 0.7407 0.4815 0.7221  3 Se 2.91, 3 Tl 3.19
10 Sm 0.2343 0.9820 0.7165  1 S 2.84, 2 Se 2.91
11 Sm 0.7477 0.9820 0.7165  1 S 2.84, 2 Se 2.91
12 S 0.0000 0.0000 0.5000  6 Sm 2.84
13 Tl 0.5000 0.5000 0.0000  6 Sm 3.19-3.20
14 Tl 0.0000 0.0000 0.0000  6 Sm 3.19-3.20
15 Tl 0.0000 0.5000 0.0000  6 Sm 3.19-3.20

(3)
# Sm6TlSe2S3

Crystalline Sm6TlSe2S3 at its relaxed geometry (GGA-PBE, Alexandria).

uncorrected formation energy	-1.651	eV per atom
total DFT energy (no corrections)	-69.9	eV/cell

a = 4.0613 Å, b = 8.4481 Å, c = 9.2943 Å
α = 103.30°, β = 102.62°, γ = 90.00°
Last column: nearest neighbours and their distance in Å.
Atoms (fractional coordinates):
1 Sm 0.6611 0.5944 0.3222  3 S 2.84, 3 Se 2.99-3.00
2 Sm 0.9980 0.2705 0.9961  3 S 2.80-2.91, 1 Se 3.03, 2 Tl 3.06
3 Sm 0.3273 0.9266 0.6547  3 S 2.83-2.87, 2 Se 3.03, 1 Tl 3.05
4 Sm 0.6727 0.0734 0.3453  3 S 2.83-2.87, 2 Se 3.03, 1 Tl 3.05
5 Sm 0.3389 0.4056 0.6778  3 S 2.84, 3 Se 2.99-3.00
6 Sm 0.0020 0.7295 0.0039  3 S 2.80-2.91, 1 Se 3.03, 2 Tl 3.06
7 S 0.5000 0.5000 0.0000  6 Sm 2.80-2.84
8 S 0.1668 0.8311 0.3336  6 Sm 2.83-2.91
9 S 0.8332 0.1689 0.6664  6 Sm 2.83-2.91
10 Tl 0.5000 0.0000 0.0000  6 Sm 3.05-3.06
11 Se 0.1696 0.3378 0.3393  6 Sm 2.99-3.03
12 Se 0.8304 0.6622 0.6607  6 Sm 2.99-3.03

(4)
# SmTlSeS

Crystalline SmTlSeS at its relaxed geometry (GGA-PBE, Alexandria).

uncorrected formation energy	-1.404	eV per atom
total DFT energy (no corrections)	-20.3	eV/cell

a = 4.1801 Å, b = 4.1802 Å, c = 8.1463 Å
α = 90.00°, β = 104.86°, γ = 120.01°
Last column: nearest neighbours and their distance in Å.
Atoms (fractional coordinates):
1 S 0.1006 0.9482 0.0641  3 Sm 2.81
2 Se 0.4969 0.1464 0.6586  3 Sm 2.97, 3 Tl 3.31-3.32
3 Tl 0.9689 0.3826 0.3666  3 Se 3.31-3.32, 3 S 3.37
4 Sm 0.3114 0.5536 0.8803  3 S 2.81, 3 Se 2.97

(5)
# Sm2TmSe2S2

Crystalline Sm2TmSe2S2 at its relaxed geometry (GGA-PBE, Alexandria).

uncorrected formation energy	-1.611	eV per atom
total DFT energy (no corrections)	-40.4	eV/cell

a = 5.0079 Å, b = 5.0079 Å, c = 8.1936 Å
α = 107.79°, β = 107.79°, γ = 90.00°
Last column: nearest neighbours and their distance in Å.
Atoms (fractional coordinates):
1 S 0.5000 0.0000 0.0000  2 Tm 2.50
2 S 0.0000 0.5000 0.0000  2 Tm 2.50
3 Se 0.8140 0.8140 0.6280  1 Tm 2.75, 1 Sm 2.83
4 Se 0.1860 0.1860 0.3720  1 Tm 2.75, 1 Sm 2.83
5 Sm 0.6225 0.6225 0.2450  1 Se 2.83, 4 S 3.09
6 Sm 0.3775 0.3775 0.7550  1 Se 2.83, 4 S 3.09
7 Tm 0.0000 0.0000 0.0000  4 S 2.50, 2 Se 2.75

(6)
# Sm2U2Se2S5

Crystalline Sm2U2Se2S5 at its relaxed geometry (GGA-PBE, Alexandria).

uncorrected formation energy	-1.448	eV per atom
total DFT energy (no corrections)	-75.5	eV/cell

a = 5.2501 Å, b = 5.2501 Å, c = 12.6789 Å
α = 101.95°, β = 101.95°, γ = 90.00°
Last column: nearest neighbours and their distance in Å.
Atoms (fractional coordinates):
1 S 0.3847 0.8847 0.7693  2 U 2.63, 2 Sm 2.90
2 S 0.6153 0.1153 0.2307  2 U 2.63, 2 Sm 2.90
3 S 0.8847 0.3847 0.7693  2 U 2.63, 2 Sm 2.90
4 S 0.0000 0.0000 0.0000  2 U 2.57
5 S 0.1153 0.6153 0.2307  2 U 2.63, 2 Sm 2.90
6 Sm 0.6657 0.6657 0.3314  1 Se 2.80, 4 S 2.90
7 Sm 0.3343 0.3343 0.6686  1 Se 2.80, 4 S 2.90
8 Se 0.7814 0.7814 0.5627  1 U 2.73, 1 Sm 2.80
9 Se 0.2186 0.2186 0.4373  1 U 2.73, 1 Sm 2.80
10 U 0.1061 0.1061 0.2122  5 S 2.57-2.63, 1 Se 2.73
11 U 0.8939 0.8939 0.7878  5 S 2.57-2.63, 1 Se 2.73

(7)
# Sm2Y2Se3S2

Crystalline Sm2Y2Se3S2 at its relaxed geometry (GGA-PBE, Alexandria).

uncorrected formation energy	-1.574	eV per atom
total DFT energy (no corrections)	-55.2	eV/cell

a = 5.6196 Å, b = 5.6196 Å, c = 8.1936 Å
α = 110.06°, β = 110.06°, γ = 90.00°
Last column: nearest neighbours and their distance in Å.
Atoms (fractional coordinates):
1 Y 0.5000 0.0000 0.0000  2 Se 2.81, 4 S 3.14
2 Y 0.0000 0.5000 0.0000  2 Se 2.81, 4 S 3.14
3 Se 0.7500 0.2500 0.5000  4 Sm 2.86
4 Se 0.2500 0.7500 0.5000  4 Sm 2.86
5 Se 0.0000 0.0000 0.0000  4 Y 2.81, 2 Sm 3.05
6 Sm 0.7875 0.7875 0.5749  1 S 2.72, 4 Se 2.86
7 Sm 0.2125 0.2125 0.4251  1 S 2.72, 4 Se 2.86
8 S 0.4022 0.4022 0.8044  1 Sm 2.72, 1 S 2.80
9 S 0.5978 0.5978 0.1956  1 Sm 2.72, 1 S 2.80

(8)
# Sm8ZnSe4S3

Crystalline Sm8ZnSe4S3 at its relaxed geometry (GGA-PBE, Alexandria).

uncorrected formation energy	-1.712	eV per atom
total DFT energy (no corrections)	-92.7	eV/cell

a = 8.1911 Å, b = 8.2893 Å, c = 8.1926 Å
α = 119.62°, β = 119.99°, γ = 90.00°
Last column: nearest neighbours and their distance in Å.
Atoms (fractional coordinates):
1 Sm 0.2569 0.2708 0.5139  3 S 2.83, 3 Se 3.00
2 Sm 0.7431 0.7292 0.4861  3 S 2.83, 3 Se 3.00
3 Sm 0.7422 0.7375 0.9899  2 S 2.85, 1 Zn 2.89, 3 Se 2.94-2.97
4 Sm 0.2476 0.7375 0.4952  2 S 2.85, 1 Zn 2.89, 3 Se 2.94-2.97
5 Sm 0.7524 0.2625 0.5048  2 S 2.85, 1 Zn 2.89, 3 Se 2.94-2.97
6 Sm 0.2477 0.7375 0.9899  2 S 2.85, 1 Zn 2.89, 3 Se 2.94-2.97
7 Sm 0.7523 0.2625 0.0101  2 S 2.85, 1 Zn 2.89, 3 Se 2.94-2.97
8 Sm 0.2578 0.2625 0.0101  2 S 2.85, 1 Zn 2.89, 3 Se 2.94-2.97
9 S 0.5000 0.5000 0.0000  6 Sm 2.83-2.85
10 S 0.5000 0.5000 0.5000  6 Sm 2.83-2.85
11 S 0.0000 0.5000 0.5000  6 Sm 2.83-2.85
12 Se 0.0000 0.0000 0.0000  6 Sm 2.97-3.00
13 Se 0.5000 0.0000 0.0000  6 Sm 2.94
14 Se 0.0000 0.0000 0.5000  6 Sm 2.97-3.00
15 Se 0.5000 0.0000 0.5000  6 Sm 2.97-3.00
16 Zn 0.0000 0.5000 0.0000  6 Sm 2.89